[1]
The following is a DFT calculation (PBE) of a relaxed Pr6Pd2AuBr3 crystal.

Space-group type: C2/m

a b c (Å): 7.405 7.405 8.102
angles (deg): 98.76 98.76 119.99
Fractional positions:
1 Br 0.500 0.500 0.500
2 Br 0.166 0.834 0.500
3 Au 0.000 0.000 0.000
4 Br 0.834 0.166 0.500
5 Pd 0.667 0.333 0.000
6 Pr 0.589 0.931 0.792
7 Pr 0.931 0.589 0.792
8 Pr 0.069 0.411 0.208
9 Pd 0.333 0.667 0.000
10 Pr 0.411 0.069 0.208
11 Pr 0.272 0.272 0.792
12 Pr 0.728 0.728 0.208

---

[2]
The following is a DFT calculation (PBE) of a relaxed RbPdAuBr6 crystal.

Space-group type: P1

a b c (Å): 7.235 10.933 4.993
angles (deg): 76.30 111.78 107.60
Fractional positions:
1 Au 0.355 0.337 0.515
2 Br 0.439 0.128 0.775
3 Br 0.724 0.451 0.608
4 Rb 0.970 0.983 0.005
5 Br 0.572 0.881 0.335
6 Br 0.986 0.234 0.387
7 Br 0.017 0.763 0.646
8 Br 0.286 0.555 0.268
9 Pd 0.651 0.669 0.461

---

[3]
The following is a DFT calculation (PBE) of a relaxed PdAu2SeBr crystal.

Space-group type: P4/mmm

a b c (Å): 5.000 5.356 5.000
angles (deg): 90.00 90.00 90.00
Fractional positions:
1 Au 0.500 0.000 0.000
2 Au 0.000 0.000 0.500
3 Br 0.000 0.000 0.000
4 Pd 0.500 0.500 0.500
5 Se 0.000 0.500 0.000

---

[4]
The following is a DFT calculation (PBE) of a relaxed PdWAu2Br crystal.

Space-group type: P4/mmm

a b c (Å): 5.151 4.744 5.151
angles (deg): 90.00 90.00 90.00
Fractional positions:
1 Pd 0.500 0.500 0.500
2 Au 0.500 0.000 0.000
3 Au 0.000 0.000 0.500
4 Br 0.000 0.500 0.000
5 W 0.000 0.000 0.000

---

[5]
The following is a DFT calculation (PBE) of a relaxed Pm4AuBr5 crystal.

Space-group type: C2/m

a b c (Å): 4.121 8.841 9.607
angles (deg): 102.61 102.39 90.00
Fractional positions:
1 Br 0.168 0.330 0.336
2 Pm 0.002 0.232 0.004
3 Pm 0.998 0.768 0.996
4 Br 0.828 0.166 0.657
5 Br 0.172 0.834 0.343
6 Au 0.500 0.000 0.000
7 Pm 0.343 0.919 0.685
8 Br 0.832 0.670 0.664
9 Br 0.500 0.500 0.000
10 Pm 0.657 0.081 0.315

---

[6]
The following is a DFT calculation (PBE) of a relaxed PmAu2Br6 crystal.

Space-group type: R3

a b c (Å): 7.105 7.105 8.492
angles (deg): 65.27 65.27 60.00
Fractional positions:
1 Br 0.585 0.944 0.243
2 Br 0.391 0.107 0.757
3 Br 0.944 0.228 0.243
4 Br 0.107 0.744 0.757
5 Au 0.734 0.734 0.799
6 Pm 0.333 0.333 0.001
7 Br 0.744 0.391 0.757
8 Au 0.599 0.599 0.202
9 Br 0.228 0.585 0.243

---

[7]
The following is a DFT calculation (PBE) of a relaxed Pm2AuBr crystal.

Polymorph energy (0 for the lowest one) in eV per atom: 0.0000
Space-group type: R-3m

a b c (Å): 4.269 4.269 7.801
angles (deg): 74.12 74.12 60.00
Fractional positions:
1 Pm 0.741 0.741 0.778
2 Pm 0.259 0.259 0.222
3 Au 0.000 0.000 0.000
4 Br 0.500 0.500 0.500

---

[8]
The following is a DFT calculation (PBE) of a relaxed PmAuBr4 crystal.

Polymorph energy (0 for the lowest one) in eV per atom: 0.0000
Space-group type: C2/c

a b c (Å): 7.461 7.802 10.256
angles (deg): 103.55 102.18 113.69
Fractional positions:
1 Au 0.580 0.330 0.661
2 Pm 0.809 0.059 0.118
3 Br 0.576 0.276 0.086
4 Br 0.279 0.026 0.634
5 Pm 0.191 0.941 0.882
6 Br 0.424 0.724 0.914
7 Au 0.420 0.670 0.339
8 Br 0.010 0.810 0.086
9 Br 0.721 0.974 0.366
10 Br 0.855 0.608 0.634
11 Br 0.145 0.392 0.366
12 Br 0.990 0.190 0.914

---

Number 1: DFT total energy -4.92 eV per atom, ΔE_f (raw) -0.975 eV per atom. Number 2: DFT total energy -2.74 eV per atom, ΔE_f (raw) -0.571 eV per atom. Number 3: DFT total energy -2.26 eV per atom, ΔE_f (raw) 1.117 eV per atom. Number 4: DFT total energy -4.13 eV per atom, ΔE_f (raw) 1.146 eV per atom. Number 5: DFT total energy -4.49 eV per atom, ΔE_f (raw) -1.421 eV per atom. Number 6: DFT total energy -3.14 eV per atom, ΔE_f (raw) -0.764 eV per atom. Number 7: DFT total energy -4.57 eV per atom, ΔE_f (raw) -0.961 eV per atom. Number 8: DFT total energy -3.69 eV per atom, ΔE_f (raw) -1.242 eV per atom.